# 1
Density functional theory data (SCAN) for a crystal of Sn3MoBr relaxed with PBEsol.

Results
- DOS(E_F): 2.16 states/eV per cell
- Volume: 28.16 Å³ per atom
- Energy relative to the elements, uncorrected: 59 meV/atom
- SG: Pm-3m, No. 221

Cell lengths 5.2025, 5.2025, 5.2025 Å; angles 90.00, 90.00, 90.00 degrees
Positions (direct):
Sn  0.0000  0.0000  0.5000
Sn  0.0000  0.5000  0.0000
Sn  0.5000  0.0000  0.0000
Mo  0.0000  0.0000  0.0000
Br  0.5000  0.5000  0.5000

# 2
Density functional theory data (SCAN) for a crystal of SrMoBr relaxed with PBEsol.

Results
- DOS(E_F): 1.12 states/eV per cell
- Volume: 24.22 Å³ per atom
- Energy relative to the elements, uncorrected: 537 meV/atom
- SG: P3m1, No. 156

Cell lengths 3.7339, 3.7339, 6.0171 Å; angles 90.00, 90.00, 120.00 degrees
Positions (direct):
Sr  0.0000  0.0000  0.0000
Mo  0.3333  0.6667  0.4249
Br  0.6667  0.3333  0.6356

# 3
Density functional theory data (SCAN) for a crystal of SrMoBr3 relaxed with PBEsol.

Results
- DOS(E_F): 2.48 states/eV per cell
- Volume: 27.11 Å³ per atom
- Energy relative to the elements, uncorrected: -592 meV/atom
- SG: Pm-3m, No. 221

Cell lengths 5.1372, 5.1372, 5.1372 Å; angles 90.00, 90.00, 90.00 degrees
Positions (direct):
Sr  0.0000  0.0000  0.0000
Mo  0.5000  0.5000  0.5000
Br  0.0000  0.5000  0.5000
Br  0.5000  0.0000  0.5000
Br  0.5000  0.5000  0.0000

# 4
Density functional theory data (SCAN) for a crystal of SrMoBr2 relaxed with PBEsol.

Results
- Excess energy over the best structure of this formula in the dataset: 0.352 eV/atom
- DOS(E_F): 1.92 states/eV per cell
- Volume: 29.21 Å³ per atom
- Energy relative to the elements, uncorrected: -4 meV/atom
- SG: R-3m, No. 166

Cell lengths 9.3320, 9.3320, 9.3320 Å; angles 23.86, 23.86, 23.86 degrees
Positions (direct):
Sr  0.0000  0.0000  0.0000
Mo  0.5000  0.5000  0.5000
Br  0.1157  0.1157  0.1157
Br  0.8843  0.8843  0.8843

# 5
Density functional theory data (SCAN) for a crystal of SrMoBr2 relaxed with PBEsol.

Results
- Excess energy over the best structure of this formula in the dataset: 0.117 eV/atom
- DOS(E_F): 2.58 states/eV per cell
- Volume: 29.59 Å³ per atom
- Energy relative to the elements, uncorrected: -240 meV/atom
- SG: I-42d, No. 122

Cell lengths 9.3878, 9.3878, 9.3878 Å; angles 147.60, 147.60, 46.48 degrees
Positions (direct):
Sr  0.0000  0.0000  0.0000
Sr  0.7500  0.2500  0.5000
Mo  0.2500  0.7500  0.5000
Mo  0.5000  0.5000  0.0000
Br  0.1769  0.6250  0.0519
Br  0.3750  0.4269  0.5519
Br  0.5731  0.1250  0.9481
Br  0.8750  0.8231  0.4481

# 6
Density functional theory data (SCAN) for a crystal of SrMoBr2 relaxed with PBEsol.

Results
- Excess energy over the best structure of this formula in the dataset: 0.000 eV/atom
- DOS(E_F): 2.09 states/eV per cell
- Volume: 26.92 Å³ per atom
- Energy relative to the elements, uncorrected: -356 meV/atom
- SG: Amm2, No. 38

Cell lengths 4.5977, 6.3579, 6.3579 Å; angles 35.41, 90.00, 90.00 degrees
Positions (direct):
Sr  0.0000  0.0000  0.0000
Mo  0.5000  0.3732  0.3732
Br  0.0000  0.2691  0.2691
Br  0.5000  0.5887  0.5887

# 7
Density functional theory data (SCAN) for a crystal of SrMoBr2 relaxed with PBEsol.

Results
- Excess energy over the best structure of this formula in the dataset: 0.074 eV/atom
- DOS(E_F): 2.19 states/eV per cell
- Volume: 26.01 Å³ per atom
- Energy relative to the elements, uncorrected: -282 meV/atom
- SG: P4mm, No. 99

Cell lengths 4.1329, 4.1329, 6.0921 Å; angles 90.00, 90.00, 90.00 degrees
Positions (direct):
Sr  0.0000  0.0000  0.0000
Mo  0.5000  0.5000  0.6759
Br  0.0000  0.0000  0.5185
Br  0.5000  0.5000  0.1225

# 8
Density functional theory data (SCAN) for a crystal of Sr2MoBr relaxed with PBEsol.

Results
- DOS(E_F): 2.49 states/eV per cell
- Volume: 28.94 Å³ per atom
- Energy relative to the elements, uncorrected: 75 meV/atom
- SG: Amm2, No. 38

Cell lengths 5.2716, 6.2196, 6.2196 Å; angles 34.58, 90.00, 90.00 degrees
Positions (direct):
Sr  0.0000  0.0000  0.0000
Sr  0.5000  0.2726  0.2726
Mo  0.5000  0.5369  0.5369
Br  0.0000  0.7302  0.7302

# 9
Density functional theory data (SCAN) for a crystal of SrMoBr2 relaxed with PBEsol.

Results
- Excess energy over the best structure of this formula in the dataset: 0.098 eV/atom
- DOS(E_F): 0.54 states/eV per cell
- Volume: 26.06 Å³ per atom
- Energy relative to the elements, uncorrected: -258 meV/atom
- SG: R3m, No. 160

Cell lengths 9.6379, 9.6379, 9.6379 Å; angles 21.38, 21.38, 21.38 degrees
Positions (direct):
Sr  0.0000  0.0000  0.0000
Mo  0.7621  0.7621  0.7621
Br  0.2596  0.2596  0.2596
Br  0.4816  0.4816  0.4816

# 10
Density functional theory data (SCAN) for a crystal of TaMoBr3 relaxed with PBEsol.

Results
- DOS(E_F): 6.73 states/eV per cell
- Volume: 25.31 Å³ per atom
- Energy relative to the elements, uncorrected: 1149 meV/atom
- SG: Pm-3m, No. 221

Cell lengths 5.0208, 5.0208, 5.0208 Å; angles 90.00, 90.00, 90.00 degrees
Positions (direct):
Ta  0.0000  0.0000  0.0000
Mo  0.5000  0.5000  0.5000
Br  0.0000  0.5000  0.5000
Br  0.5000  0.0000  0.5000
Br  0.5000  0.5000  0.0000

# 11
Density functional theory data (SCAN) for a crystal of Ta2MoBr relaxed with PBEsol.

Results
- Excess energy over the best structure of this formula in the dataset: 0.354 eV/atom
- DOS(E_F): 2.70 states/eV per cell
- Volume: 17.19 Å³ per atom
- Energy relative to the elements, uncorrected: 768 meV/atom
- SG: P2/m, No. 10

Cell lengths 4.9949, 3.0149, 5.0351 Å; angles 90.00, 114.92, 90.00 degrees
Positions (direct):
Ta  0.0000  0.0000  0.0000
Ta  0.0000  0.5000  0.5000
Mo  0.5000  0.0000  0.5000
Br  0.5000  0.5000  0.0000

# 12
Density functional theory data (SCAN) for a crystal of TaMoBr4 relaxed with PBEsol.

Results
- DOS(E_F): 7.38 states/eV per cell
- Volume: 22.83 Å³ per atom
- Energy relative to the elements, uncorrected: 1809 meV/atom
- SG: F-43m, No. 216

Cell lengths 5.7865, 5.7865, 5.7865 Å; angles 60.00, 60.00, 60.00 degrees
Positions (direct):
Ta  0.0000  0.0000  0.0000
Mo  0.7500  0.7500  0.7500
Br  0.3749  0.3749  0.3749
Br  0.3749  0.3749  0.8754
Br  0.3749  0.8754  0.3749
Br  0.8754  0.3749  0.3749

# 13
Density functional theory data (SCAN) for a crystal of Ta3MoBr relaxed with PBEsol.

Results
- DOS(E_F): 5.71 states/eV per cell
- Volume: 22.66 Å³ per atom
- Energy relative to the elements, uncorrected: 1643 meV/atom
- SG: Pm-3m, No. 221

Cell lengths 4.8386, 4.8386, 4.8386 Å; angles 90.00, 90.00, 90.00 degrees
Positions (direct):
Ta  0.0000  0.0000  0.5000
Ta  0.0000  0.5000  0.0000
Ta  0.5000  0.0000  0.0000
Mo  0.0000  0.0000  0.0000
Br  0.5000  0.5000  0.5000

# 14
Density functional theory data (SCAN) for a crystal of Ta2MoBr relaxed with PBEsol.

Results
- Excess energy over the best structure of this formula in the dataset: 0.569 eV/atom
- DOS(E_F): 4.04 states/eV per cell
- Volume: 17.14 Å³ per atom
- Energy relative to the elements, uncorrected: 983 meV/atom
- SG: F-43m, No. 216

Cell lengths 4.5938, 4.5938, 4.5938 Å; angles 60.00, 60.00, 60.00 degrees
Positions (direct):
Ta  0.0000  0.0000  0.0000
Ta  0.2500  0.2500  0.2500
Mo  0.7500  0.7500  0.7500
Br  0.5000  0.5000  0.5000

# 15
Density functional theory data (SCAN) for a crystal of TaMoBr relaxed with PBEsol.

Results
- Excess energy over the best structure of this formula in the dataset: 0.751 eV/atom
- DOS(E_F): 2.90 states/eV per cell
- Volume: 19.63 Å³ per atom
- Energy relative to the elements, uncorrected: 1377 meV/atom
- SG: F-43m, No. 216

Cell lengths 4.3672, 4.3672, 4.3672 Å; angles 60.00, 60.00, 60.00 degrees
Positions (direct):
Ta  0.0000  0.0000  0.0000
Mo  0.7500  0.7500  0.7500
Br  0.2500  0.2500  0.2500

The records above give, respectively, total moment values of 0.01, 0.00, 2.90, 1.56, 8.03, 4.06, 4.30, 3.09, 2.01, 7.28, 0.00, 0.75, 0.00, 0.00, 0.00 μB/cell.